# BeGe2Os (PBE, optimized geometry)
# * energy relative to the elements: 0.33 eV/atom
# * Fermi-level density of states: 4.68 states/eV per cell
data_BeGe2Os
_chemical_formula_sum 'Be3 Ge6 Os3'
_space_group_name_H-M_alt 'R -3 m'
_space_group_IT_number 166
_space_group_name_Hall '-R 3 2"'
_cell_length_a 2.9968
_cell_length_b 2.9968
_cell_length_c 24.5298
_cell_angle_alpha 90.00
_cell_angle_beta 90.00
_cell_angle_gamma 120.00
loop_
_atom_site_label
_atom_site_type_symbol
_atom_site_fract_x
_atom_site_fract_y
_atom_site_fract_z
_atom_site_occupancy
Be1 Be 0.0000 0.0000 0.0000 1
Ge1 Ge 0.0000 0.0000 0.0901 1
Os1 Os 0.0000 0.0000 0.5000 1

# PaFe2BC (PBE, optimized geometry)
# * energy relative to the elements: -0.29 eV/atom
# * Fermi-level density of states: 20.75 states/eV per cell
data_PaFe2BC
_chemical_formula_sum 'Pa4 Fe8 B4 C4'
_space_group_name_H-M_alt 'C m c m'
_space_group_IT_number 63
_space_group_name_Hall '-C 2c 2'
_cell_length_a 3.559
_cell_length_b 10.077
_cell_length_c 6.597
_cell_angle_alpha 90.00
_cell_angle_beta 90.00
_cell_angle_gamma 90.00
loop_
_atom_site_label
_atom_site_type_symbol
_atom_site_fract_x
_atom_site_fract_y
_atom_site_fract_z
_atom_site_occupancy
Pa1 Pa 0.000 0.054 0.250 1
Fe1 Fe 0.000 0.323 0.065 1
B1 B 0.000 0.229 0.750 1
C1 C 0.000 0.500 0.000 1

# Tb5Nd12Dy2 (PBE, optimized geometry)
# * energy relative to the elements: 0.17 eV/atom
# * excess energy over the best structure of this formula in the dataset: 42 meV per atom
# * Fermi-level density of states: 60.54 states/eV per cell
data_Tb5Nd12Dy2
_chemical_formula_sum 'Tb10 Nd24 Dy4'
_space_group_name_H-M_alt 'C 1 2/m 1'
_space_group_IT_number 12
_cell_length_a 19.209
_cell_length_b 7.555
_cell_length_c 10.070
_cell_angle_alpha 90.00
_cell_angle_beta 116.45
_cell_angle_gamma 90.00
loop_
_space_group_symop_operation_xyz
'x,y,z'
'-x,-y,-z'
'-x,y,-z'
'x,-y,z'
'x+1/2,y+1/2,z'
'-x+1/2,-y+1/2,-z'
'-x+1/2,y+1/2,-z'
'x+1/2,-y+1/2,z'
loop_
_atom_site_label
_atom_site_type_symbol
_atom_site_fract_x
_atom_site_fract_y
_atom_site_fract_z
_atom_site_occupancy
Tb1 Tb 0.000 0.000 0.000 1
Tb2 Tb 0.176 0.000 0.673 1
Tb3 Tb 0.179 0.500 0.696 1
Nd1 Nd 0.005 0.000 0.711 1
Nd2 Nd 0.007 0.500 0.828 1
Nd3 Nd 0.160 0.249 0.350 1
Nd4 Nd 0.165 0.240 0.997 1
Dy1 Dy 0.000 0.299 0.500 1

# Na2BiPCO7 (PBE, optimized geometry)
# * ΔE_f (raw): -1861 meV/atom
# * Fermi-level density of states: 0.00 states/eV per cell
data_Na2BiPCO7
_chemical_formula_sum 'Na4 Bi2 P2 C2 O14'
_space_group_name_H-M_alt 'P 1 21/m 1'
_space_group_IT_number 11
_cell_length_a 5.354
_cell_length_b 7.000
_cell_length_c 9.477
_cell_angle_alpha 90.00
_cell_angle_beta 90.73
_cell_angle_gamma 90.00
loop_
_space_group_symop_operation_xyz
'x,y,z'
'-x,-y,-z'
'-x,y+1/2,-z'
'x,-y+1/2,z'
loop_
_atom_site_label
_atom_site_type_symbol
_atom_site_fract_x
_atom_site_fract_y
_atom_site_fract_z
_atom_site_occupancy
Na1 Na 0.246 0.013 0.291 1
Bi1 Bi 0.298 0.250 0.887 1
P1 P 0.230 0.750 0.899 1
C1 C 0.253 0.250 0.595 1
O1 O 0.051 0.250 0.136 1
O2 O 0.054 0.250 0.676 1
O3 O 0.241 0.250 0.463 1
O4 O 0.264 0.750 0.065 1
O5 O 0.368 0.572 0.839 1
O6 O 0.470 0.250 0.666 1

# YBeCuPt2 (PBE, optimized geometry)
# * energy relative to the elements: -0.61 eV/atom
# * Fermi-level density of states: 2.20 states/eV per cell
data_YBeCuPt2
_chemical_formula_sum 'Y1 Be1 Cu1 Pt2'
_space_group_name_H-M_alt 'P 4/m m m'
_space_group_IT_number 123
_space_group_name_Hall '-P 4 2'
_cell_length_a 4.421
_cell_length_b 4.421
_cell_length_c 4.184
_cell_angle_alpha 90.00
_cell_angle_beta 90.00
_cell_angle_gamma 90.00
loop_
_atom_site_label
_atom_site_type_symbol
_atom_site_fract_x
_atom_site_fract_y
_atom_site_fract_z
_atom_site_occupancy
Y1 Y 0.000 0.000 0.000 1
Be1 Be 0.500 0.500 0.500 1
Cu1 Cu 0.500 0.500 0.000 1
Pt1 Pt 0.000 0.500 0.500 1

# Hf2VCdC (PBE, optimized geometry)
# * energy relative to the elements: -0.31 eV/atom
# * Fermi-level density of states: 2.71 states/eV per cell
data_Hf2VCdC
_chemical_formula_sum 'Hf2 V1 Cd1 C1'
_space_group_name_H-M_alt 'P 4/m m m'
_space_group_IT_number 123
_space_group_name_Hall '-P 4 2'
_cell_length_a 4.547
_cell_length_b 4.547
_cell_length_c 4.047
_cell_angle_alpha 90.00
_cell_angle_beta 90.00
_cell_angle_gamma 90.00
loop_
_atom_site_label
_atom_site_type_symbol
_atom_site_fract_x
_atom_site_fract_y
_atom_site_fract_z
_atom_site_occupancy
Hf1 Hf 0.000 0.500 0.000 1
V1 V 0.000 0.000 0.500 1
Cd1 Cd 0.500 0.500 0.500 1
C1 C 0.000 0.000 0.000 1